Density functional theory data (GGA-PBE) for a relaxed V3Cr3C crystal.

* E_tot: -266.71 eV/cell
* crystal system: cubic

Cell lengths 7.7307, 7.7307, 7.7307 Å; angles 60.00, 60.00, 60.00 degrees
Positions (direct):
V  0.0634  0.0634  0.6866
V  0.0634  0.6866  0.0634
V  0.0634  0.6866  0.6866
V  0.3134  0.3134  0.9366
V  0.3134  0.9366  0.3134
V  0.3134  0.9366  0.9366
V  0.6866  0.0634  0.0634
V  0.6866  0.0634  0.6866
V  0.6866  0.6866  0.0634
V  0.9366  0.3134  0.3134
V  0.9366  0.3134  0.9366
V  0.9366  0.9366  0.3134
Cr  0.0000  0.5000  0.5000
Cr  0.2916  0.2916  0.2916
Cr  0.2916  0.2916  0.6251
Cr  0.2916  0.6251  0.2916
Cr  0.3749  0.7084  0.7084
Cr  0.5000  0.0000  0.5000
Cr  0.5000  0.5000  0.0000
Cr  0.5000  0.5000  0.5000
Cr  0.6251  0.2916  0.2916
Cr  0.7084  0.3749  0.7084
Cr  0.7084  0.7084  0.3749
Cr  0.7084  0.7084  0.7084
C  0.0000  0.0000  0.0000
C  0.0000  0.0000  0.5000
C  0.0000  0.5000  0.0000
C  0.5000  0.0000  0.0000